i) GGA-PBE BeInSn2, relaxed; density = 5.54 g/cm3
1.0
5.315 0.000 0.000
0.000 5.315 0.000
2.657 2.657 7.660
In Be Sn
2 2 4
direct
0.750 0.250 0.500
0.000 0.000 0.000
0.500 0.500 0.000
0.250 0.750 0.500
0.540 0.125 0.250
0.375 0.460 0.750
0.875 0.790 0.750
0.210 0.625 0.250


ii) GGA-PBE BeInSn2, relaxed; density = 6.39 g/cm3
1.0
0.000 3.607 3.607
3.607 0.000 3.607
3.607 3.607 0.000
Sn In Be
2 1 1
direct
0.250 0.250 0.250
0.750 0.750 0.750
0.500 0.500 0.500
0.000 0.000 0.000


Stability, lowest: ii)